# PaTiCo, optimized geometry, DFT GGA-PBE
# **Polymorph energy (0 for the lowest one)**: 219 meV per atom
# **Crystal system**: trigonal
# **Formation energy from the elements**: 0.01 eV/atom
# **Electronic total energy**: -8.15 eV per atom
data_PaTiCo
_chemical_formula_sum 'Pa1 Ti1 Co1'
_space_group_name_H-M_alt 'P 3 m 1'
_space_group_IT_number 156
_space_group_name_Hall 'P 3 -2"'
_cell_length_a 3.7420
_cell_length_b 3.7420
_cell_length_c 4.7201
_cell_angle_alpha 90.00
_cell_angle_beta 90.00
_cell_angle_gamma 120.00
loop_
_atom_site_label
_atom_site_type_symbol
_atom_site_fract_x
_atom_site_fract_y
_atom_site_fract_z
Pa1 Pa 0.0000 0.0000 0.0000
Ti1 Ti 0.6667 0.3333 0.5282
Co1 Co 0.3333 0.6667 0.3225

---

# Pr12AgHg6, optimized geometry, DFT GGA-PBE
# **Crystal system**: trigonal
# **Formation energy from the elements**: -0.20 eV/atom
# **Electronic total energy**: -3.46 eV per atom
data_Pr12AgHg6
_chemical_formula_sum 'Pr36 Ag3 Hg18'
_space_group_name_H-M_alt 'R -3'
_space_group_IT_number 148
_space_group_name_Hall '-R 3'
_cell_length_a 11.8360
_cell_length_b 11.8360
_cell_length_c 14.2549
_cell_angle_alpha 90.00
_cell_angle_beta 90.00
_cell_angle_gamma 120.00
loop_
_atom_site_label
_atom_site_type_symbol
_atom_site_fract_x
_atom_site_fract_y
_atom_site_fract_z
Pr1 Pr 0.0550 0.8375 0.4070
Pr2 Pr 0.0688 0.1881 0.8239
Ag1 Ag 0.0000 0.0000 0.0000
Hg1 Hg 0.0216 0.4340 0.7062

---

# CdPb3Br, optimized geometry, DFT GGA-PBE
# **Formation energy (no corrections)**: 0.311 eV per atom
# **Polymorph energy (0 for the lowest one)**: 0 meV per atom
# **Crystal system**: cubic
# **Electronic total energy**: -2.43 eV per atom
data_CdPb3Br
_chemical_formula_sum 'Cd1 Pb3 Br1'
_space_group_name_H-M_alt 'P m -3 m'
_space_group_IT_number 221
_space_group_name_Hall '-P 4 2 3'
_cell_length_a 5.755
_cell_length_b 5.755
_cell_length_c 5.755
_cell_angle_alpha 90.00
_cell_angle_beta 90.00
_cell_angle_gamma 90.00
loop_
_atom_site_label
_atom_site_type_symbol
_atom_site_fract_x
_atom_site_fract_y
_atom_site_fract_z
Cd1 Cd 0.000 0.000 0.000
Pb1 Pb 0.000 0.000 0.500
Br1 Br 0.500 0.500 0.500

---

# Pr3Al3Hg2, optimized geometry, DFT GGA-PBE
# **Crystal system**: orthorhombic
# **Formation energy from the elements**: -0.43 eV/atom
# **Electronic total energy**: -3.70 eV per atom
data_Pr3Al3Hg2
_chemical_formula_sum 'Pr12 Al12 Hg8'
_space_group_name_H-M_alt 'C m c m'
_space_group_IT_number 63
_space_group_name_Hall '-C 2c 2'
_cell_length_a 4.697
_cell_length_b 11.208
_cell_length_c 15.477
_cell_angle_alpha 90.00
_cell_angle_beta 90.00
_cell_angle_gamma 90.00
loop_
_atom_site_label
_atom_site_type_symbol
_atom_site_fract_x
_atom_site_fract_y
_atom_site_fract_z
Pr1 Pr 0.000 0.090 0.112
Pr2 Pr 0.000 0.364 0.250
Al1 Al 0.000 0.346 0.750
Al2 Al 0.000 0.392 0.038
Hg1 Hg 0.000 0.204 0.599

---

# YInRh3, optimized geometry, DFT GGA-PBE
# **Polymorph energy (0 for the lowest one)**: 0 meV per atom
# **Crystal system**: cubic
# **Formation energy from the elements**: 0.42 eV/atom
# **Electronic total energy**: -5.83 eV per atom
data_YInRh3
_chemical_formula_sum 'Y1 In1 Rh3'
_space_group_name_H-M_alt 'P m -3 m'
_space_group_IT_number 221
_space_group_name_Hall '-P 4 2 3'
_cell_length_a 4.839
_cell_length_b 4.839
_cell_length_c 4.839
_cell_angle_alpha 90.00
_cell_angle_beta 90.00
_cell_angle_gamma 90.00
loop_
_atom_site_label
_atom_site_type_symbol
_atom_site_fract_x
_atom_site_fract_y
_atom_site_fract_z
Y1 Y 0.000 0.000 0.000
In1 In 0.500 0.500 0.500
Rh1 Rh 0.000 0.500 0.500

---

# Ba5NaTl4, optimized geometry, DFT GGA-PBE
# **Crystal system**: tetragonal
# **Formation energy from the elements**: -0.34 eV/atom
# **Electronic total energy**: -2.38 eV per atom
data_Ba5NaTl4
_chemical_formula_sum 'Ba5 Na1 Tl4'
_space_group_name_H-M_alt 'P 4/m m m'
_space_group_IT_number 123
_space_group_name_Hall '-P 4 2'
_cell_length_a 4.324
_cell_length_b 4.324
_cell_length_c 22.265
_cell_angle_alpha 90.00
_cell_angle_beta 90.00
_cell_angle_gamma 90.00
loop_
_atom_site_label
_atom_site_type_symbol
_atom_site_fract_x
_atom_site_fract_y
_atom_site_fract_z
Ba1 Ba 0.000 0.000 0.000
Ba2 Ba 0.000 0.000 0.191
Ba3 Ba 0.000 0.000 0.377
Na1 Na 0.500 0.500 0.500
Tl1 Tl 0.500 0.500 0.098
Tl2 Tl 0.500 0.500 0.287

---

# TaTl, optimized geometry, DFT GGA-PBE
# **Polymorph energy (0 for the lowest one)**: 799 meV per atom
# **Crystal system**: hexagonal
# **Formation energy from the elements**: 1.26 eV/atom
# **Electronic total energy**: -5.85 eV per atom
data_TaTl
_chemical_formula_sum 'Ta2 Tl2'
_space_group_name_H-M_alt 'P 63/m m c'
_space_group_IT_number 194
_space_group_name_Hall '-P 6c 2c'
_cell_length_a 4.2092
_cell_length_b 4.2092
_cell_length_c 6.0716
_cell_angle_alpha 90.00
_cell_angle_beta 90.00
_cell_angle_gamma 120.00
loop_
_atom_site_label
_atom_site_type_symbol
_atom_site_fract_x
_atom_site_fract_y
_atom_site_fract_z
Ta1 Ta 0.3333 0.6667 0.2500
Tl1 Tl 0.0000 0.0000 0.0000

---

# YMgMo2, optimized geometry, DFT GGA-PBE
# **Crystal system**: orthorhombic
# **Formation energy from the elements**: 0.48 eV/atom
# **Electronic total energy**: -6.95 eV per atom
data_YMgMo2
_chemical_formula_sum 'Y2 Mg2 Mo4'
_space_group_name_H-M_alt 'I m m m'
_space_group_IT_number 71
_space_group_name_Hall '-I 2 2'
_cell_length_a 3.648
_cell_length_b 4.414
_cell_length_c 9.606
_cell_angle_alpha 90.00
_cell_angle_beta 90.00
_cell_angle_gamma 90.00
loop_
_atom_site_label
_atom_site_type_symbol
_atom_site_fract_x
_atom_site_fract_y
_atom_site_fract_z
Y1 Y 0.000 0.000 0.000
Mg1 Mg 0.000 0.000 0.500
Mo1 Mo 0.000 0.500 0.248